(1)
Computed, not measured: a relaxed YUB crystal at the PBE level of DFT.

Cell lengths 6.2470, 6.2470, 6.2470 Å; angles 90.00, 90.00, 90.00 degrees
Closest atoms and distances in Å follow each position.
Fractional coordinates of all 12 atoms:
Y  0.0000  0.0000  0.0000  4 B 2.71
Y  0.0000  0.5000  0.5000  4 B 2.71
Y  0.5000  0.0000  0.5000  4 B 2.71
Y  0.5000  0.5000  0.0000  4 B 2.71
U  0.0000  0.0000  0.5000  4 B 2.71
U  0.0000  0.5000  0.0000  4 B 2.71
U  0.5000  0.0000  0.0000  4 B 2.71
U  0.5000  0.5000  0.5000  4 B 2.71
B  0.2500  0.2500  0.7500  4 U 2.71, 4 Y 2.71
B  0.2500  0.7500  0.2500  4 U 2.71, 4 Y 2.71
B  0.7500  0.2500  0.2500  4 U 2.71, 4 Y 2.71
B  0.7500  0.7500  0.7500  4 Y 2.71, 4 U 2.71

The space-group type is F-43m, No. 216. The volume is 243.78 Å³/cell.

---

(2)
Computed, not measured: a relaxed B4W crystal at the PBE level of DFT.

Cell lengths 2.9507, 2.9507, 10.9989 Å; angles 90.00, 90.00, 120.00 degrees
Closest atoms and distances in Å follow each position.
Fractional coordinates of all 10 atoms:
B  0.3333  0.6667  0.0454  4 B 1.72-1.85
B  0.3333  0.6667  0.4546  4 B 1.72-1.85
B  0.3333  0.6667  0.6109  4 B 1.72-1.85
B  0.3333  0.6667  0.8891  4 B 1.72-1.85
B  0.6667  0.3333  0.1109  4 B 1.72-1.85
B  0.6667  0.3333  0.3891  4 B 1.72-1.85
B  0.6667  0.3333  0.5454  4 B 1.72-1.85
B  0.6667  0.3333  0.9546  4 B 1.72-1.85
W  0.3333  0.6667  0.2500  8 B 2.25-2.29
W  0.6667  0.3333  0.7500  8 B 2.25-2.29

The space-group type is P6_3/mmc, No. 194. The volume is 82.93 Å³/cell.

---

(3)
Computed, not measured: a relaxed BW2 crystal at the PBE level of DFT.

Cell lengths 5.1384, 5.1384, 5.1384 Å; angles 60.00, 60.00, 60.00 degrees
Closest atoms and distances in Å follow each position.
Fractional coordinates of all 6 atoms:
B  0.1250  0.1250  0.1250  12 W 3.01, 4 B 3.15
B  0.8750  0.8750  0.8750  12 W 3.01, 4 B 3.15
W  0.0000  0.5000  0.5000  6 W 2.57
W  0.5000  0.0000  0.5000  6 W 2.57
W  0.5000  0.5000  0.0000  6 W 2.57
W  0.5000  0.5000  0.5000  6 W 2.57

The space-group type is Fd-3m, No. 227. The volume is 95.93 Å³/cell.

---

(4)
Computed, not measured: a relaxed B4W crystal at the PBE level of DFT.

Cell lengths 5.3498, 5.3498, 6.4716 Å; angles 90.00, 90.00, 120.00 degrees
Closest atoms and distances in Å follow each position.
Fractional coordinates of all 20 atoms:
B  0.0000  0.3370  0.0000  5 B 1.74-1.93
B  0.0000  0.3370  0.5000  5 B 1.74-1.93
B  0.0000  0.6630  0.0000  5 B 1.74-1.93
B  0.0000  0.6630  0.5000  5 B 1.74-1.93
B  0.3333  0.6667  0.1190  1 B 1.70
B  0.3333  0.6667  0.3810  1 B 1.70
B  0.3370  0.0000  0.0000  5 B 1.74-1.93
B  0.3370  0.0000  0.5000  5 B 1.74-1.93
B  0.3370  0.3370  0.0000  5 B 1.74-1.93
B  0.3370  0.3370  0.5000  5 B 1.74-1.93
B  0.6630  0.0000  0.0000  5 B 1.74-1.93
B  0.6630  0.0000  0.5000  5 B 1.74-1.93
B  0.6630  0.6630  0.0000  5 B 1.74-1.93
B  0.6630  0.6630  0.5000  5 B 1.74-1.93
B  0.6667  0.3333  0.6190  1 B 1.70
B  0.6667  0.3333  0.8810  1 B 1.70
W  0.0000  0.0000  0.2500  12 B 2.42
W  0.0000  0.0000  0.7500  12 B 2.42
W  0.3333  0.6667  0.7500  14 B 2.39-2.40
W  0.6667  0.3333  0.2500  14 B 2.39-2.40

The space-group type is P6_3/mmc, No. 194. The volume is 160.40 Å³/cell.

---

(5)
Computed, not measured: a relaxed B2W crystal at the PBE level of DFT.

Cell lengths 6.7561, 6.7561, 6.7561 Å; angles 60.00, 60.00, 60.00 degrees
Closest atoms and distances in Å follow each position.
Fractional coordinates of all 6 atoms:
B  0.0000  0.0000  0.0000  2 W 2.07
B  0.0000  0.0000  0.5000  2 W 2.07
B  0.0000  0.5000  0.0000  2 W 2.07
B  0.5000  0.0000  0.0000  2 W 2.07
W  0.1250  0.1250  0.1250  4 B 2.07
W  0.8750  0.8750  0.8750  4 B 2.07

The space-group type is Fd-3m, No. 227. The volume is 218.06 Å³/cell.

---

(6)
Computed, not measured: a relaxed B2W crystal at the PBE level of DFT.

Cell lengths 2.9309, 2.9309, 7.7498 Å; angles 90.00, 90.00, 120.00 degrees
Closest atoms and distances in Å follow each position.
Fractional coordinates of all 6 atoms:
B  0.3333  0.6667  0.0406  3 B 1.81
B  0.3333  0.6667  0.4594  3 B 1.81
B  0.6667  0.3333  0.5406  3 B 1.81
B  0.6667  0.3333  0.9594  3 B 1.81
W  0.3333  0.6667  0.7500  8 B 2.25-2.34
W  0.6667  0.3333  0.2500  8 B 2.25-2.34

The space-group type is P6_3/mmc, No. 194. The volume is 57.65 Å³/cell.

---

(7)
Computed, not measured: a relaxed B2W crystal at the PBE level of DFT.

Cell lengths 4.2468, 4.2468, 4.2468 Å; angles 60.00, 60.00, 60.00 degrees
Closest atoms and distances in Å follow each position.
Fractional coordinates of all 6 atoms:
B  0.0000  0.0000  0.0000  6 B 2.12
B  0.0000  0.0000  0.5000  6 B 2.12
B  0.0000  0.5000  0.0000  6 B 2.12
B  0.5000  0.0000  0.0000  6 B 2.12
W  0.3750  0.3750  0.3750  12 B 2.49, 4 W 2.60
W  0.6250  0.6250  0.6250  12 B 2.49, 4 W 2.60

The space-group type is Fd-3m, No. 227. The volume is 54.16 Å³/cell.

---

(8)
Computed, not measured: a relaxed B2W crystal at the PBE level of DFT.

Cell lengths 2.9268, 4.6539, 4.2300 Å; angles 90.00, 90.00, 90.00 degrees
Closest atoms and distances in Å follow each position.
Fractional coordinates of all 6 atoms:
B  0.2500  0.0569  0.1152  3 B 1.80-1.84
B  0.2500  0.4431  0.1152  3 B 1.80-1.84
B  0.7500  0.5569  0.8848  3 B 1.80-1.84
B  0.7500  0.9431  0.8848  3 B 1.80-1.84
W  0.2500  0.2500  0.6207  8 B 2.28-2.33
W  0.7500  0.7500  0.3793  8 B 2.28-2.33

The space-group type is Pmmn, No. 59. The volume is 57.62 Å³/cell.

---

(9)
Computed, not measured: a relaxed B4W crystal at the PBE level of DFT.

Cell lengths 6.9286, 6.9286, 3.9112 Å; angles 90.00, 90.00, 90.00 degrees
Closest atoms and distances in Å follow each position.
Fractional coordinates of all 20 atoms:
B  0.0000  0.0000  0.1994  5 B 1.56-1.73
B  0.0000  0.0000  0.8006  5 B 1.56-1.73
B  0.0240  0.1822  0.5000  5 B 1.66-1.80
B  0.0872  0.4128  0.5000  3 B 1.66-1.71
B  0.1822  0.9760  0.5000  5 B 1.66-1.80
B  0.3178  0.4760  0.5000  5 B 1.66-1.80
B  0.4128  0.9128  0.5000  3 B 1.66-1.71
B  0.4760  0.6822  0.5000  5 B 1.66-1.80
B  0.5000  0.5000  0.1994  5 B 1.56-1.73
B  0.5000  0.5000  0.8006  5 B 1.56-1.73
B  0.5240  0.3178  0.5000  5 B 1.66-1.80
B  0.5872  0.0872  0.5000  3 B 1.66-1.71
B  0.6822  0.5240  0.5000  5 B 1.66-1.80
B  0.8178  0.0240  0.5000  5 B 1.66-1.80
B  0.9128  0.5872  0.5000  3 B 1.66-1.71
B  0.9760  0.8178  0.5000  5 B 1.66-1.80
W  0.1207  0.6207  0.0000  1 W 2.36, 8 B 2.44-2.59
W  0.3793  0.1207  0.0000  1 W 2.36, 8 B 2.44-2.59
W  0.6207  0.8793  0.0000  1 W 2.36, 8 B 2.44-2.59
W  0.8793  0.3793  0.0000  1 W 2.36, 8 B 2.44-2.59

The space-group type is P4/mbm, No. 127. The volume is 187.76 Å³/cell.

---

(10)
Computed, not measured: a relaxed YBW crystal at the PBE level of DFT.

Cell lengths 5.8771, 5.8771, 5.8771 Å; angles 90.00, 90.00, 90.00 degrees
Closest atoms and distances in Å follow each position.
Fractional coordinates of all 12 atoms:
Y  0.0000  0.0000  0.0000  4 B 2.54
Y  0.0000  0.5000  0.5000  4 B 2.54
Y  0.5000  0.0000  0.5000  4 B 2.54
Y  0.5000  0.5000  0.0000  4 B 2.54
B  0.2500  0.2500  0.7500  4 W 2.54, 4 Y 2.54
B  0.2500  0.7500  0.2500  4 W 2.54, 4 Y 2.54
B  0.7500  0.2500  0.2500  4 W 2.54, 4 Y 2.54
B  0.7500  0.7500  0.7500  4 Y 2.54, 4 W 2.54
W  0.0000  0.0000  0.5000  4 B 2.54
W  0.0000  0.5000  0.0000  4 B 2.54
W  0.5000  0.0000  0.0000  4 B 2.54
W  0.5000  0.5000  0.5000  4 B 2.54

The space-group type is F-43m, No. 216. The volume is 202.99 Å³/cell.

---

(11)
Computed, not measured: a relaxed YBW2 crystal at the PBE level of DFT.

Cell lengths 6.3764, 6.3764, 6.3764 Å; angles 90.00, 90.00, 90.00 degrees
Closest atoms and distances in Å follow each position.
Fractional coordinates of all 16 atoms:
Y  0.0000  0.0000  0.0000  4 B 2.76, 4 W 2.76
Y  0.0000  0.5000  0.5000  4 B 2.76, 4 W 2.76
Y  0.5000  0.0000  0.5000  4 B 2.76, 4 W 2.76
Y  0.5000  0.5000  0.0000  4 B 2.76, 4 W 2.76
B  0.2500  0.2500  0.7500  4 W 2.76, 4 Y 2.76
B  0.2500  0.7500  0.2500  4 W 2.76, 4 Y 2.76
B  0.7500  0.2500  0.2500  4 W 2.76, 4 Y 2.76
B  0.7500  0.7500  0.7500  4 W 2.76, 4 Y 2.76
W  0.0000  0.0000  0.5000  4 W 2.76, 4 B 2.76
W  0.0000  0.5000  0.0000  4 W 2.76, 4 B 2.76
W  0.2500  0.2500  0.2500  4 W 2.76, 4 Y 2.76
W  0.2500  0.7500  0.7500  4 W 2.76, 4 Y 2.76
W  0.5000  0.0000  0.0000  4 W 2.76, 4 B 2.76
W  0.5000  0.5000  0.5000  4 W 2.76, 4 B 2.76
W  0.7500  0.2500  0.7500  4 W 2.76, 4 Y 2.76
W  0.7500  0.7500  0.2500  4 W 2.76, 4 Y 2.76

The space-group type is F-43m, No. 216. The volume is 259.25 Å³/cell.

---

(12)
Computed, not measured: a relaxed Y3B7W crystal at the PBE level of DFT.

Cell lengths 8.1801, 8.1801, 9.4908 Å; angles 90.00, 90.00, 155.52 degrees
Closest atoms and distances in Å follow each position.
Fractional coordinates of all 22 atoms:
Y  0.1068  0.8932  0.5604  11 B 2.65-2.74
Y  0.1068  0.8932  0.9396  11 B 2.65-2.74
Y  0.2440  0.7560  0.2500  10 B 2.65-2.73
Y  0.7560  0.2440  0.7500  10 B 2.65-2.73
Y  0.8932  0.1068  0.0604  11 B 2.65-2.74
Y  0.8932  0.1068  0.4396  11 B 2.65-2.74
B  0.2725  0.7275  0.5332  3 B 1.83-1.98
B  0.2725  0.7275  0.9668  3 B 1.83-1.98
B  0.3652  0.6348  0.6471  3 B 1.83-1.95
B  0.3652  0.6348  0.8529  3 B 1.83-1.95
B  0.4560  0.5440  0.2500  2 B 1.81
B  0.4803  0.5197  0.5919  3 B 1.81-1.91
B  0.4803  0.5197  0.9081  3 B 1.81-1.91
B  0.5197  0.4803  0.0919  3 B 1.81-1.91
B  0.5197  0.4803  0.4081  3 B 1.81-1.91
B  0.5440  0.4560  0.7500  2 B 1.81
B  0.6348  0.3652  0.1471  3 B 1.83-1.95
B  0.6348  0.3652  0.3529  3 B 1.83-1.95
B  0.7275  0.2725  0.0332  3 B 1.83-1.98
B  0.7275  0.2725  0.4668  3 B 1.83-1.98
W  0.0536  0.9464  0.2500  10 B 2.33-2.38
W  0.9464  0.0536  0.7500  10 B 2.33-2.38

The space-group type is Cmcm, No. 63. The volume is 263.12 Å³/cell.

---

Number 1: total energy -7.629 eV/atom. Number 2: total energy -8.172 eV/atom. Number 3: total energy -8.958 eV/atom. Number 4: total energy -7.535 eV/atom. Number 5: total energy -6.546 eV/atom. Number 6: total energy -9.135 eV/atom. Number 7: total energy -8.170 eV/atom. Number 8: total energy -9.127 eV/atom. Number 9: total energy -7.431 eV/atom. Number 10: total energy -8.141 eV/atom. Number 11: total energy -9.008 eV/atom. Number 12: total energy -7.773 eV/atom.